First-principles (PBE) data for a relaxed YTi2SnO crystal, as listed in Alexandria via LeMat-Bulk.

Structure (CIF):
```
data_YTi2SnO
_cell_length_a 4.235
_cell_length_b 4.235
_cell_length_c 4.830
_cell_angle_alpha 90.00
_cell_angle_beta 90.00
_cell_angle_gamma 90.00
_symmetry_space_group_name_H-M 'P 4/m m m'
_symmetry_Int_Tables_number 123
_symmetry_space_group_name_Hall '-P 4 2'
loop_
_atom_site_label
_atom_site_type_symbol
_atom_site_fract_x
_atom_site_fract_y
_atom_site_fract_z
Y1 Y 0.000 0.000 0.000
Ti1 Ti 0.000 0.500 0.500
Sn1 Sn 0.500 0.500 0.000
O1 O 0.000 0.000 0.500
```

Formation energy (no corrections)   -1192.1 meV per atom
Energy above the most stable polymorph in this dataset   0.000 eV per atom

=====

First-principles (PBE) data for a relaxed YSc2SnH crystal, as listed in Alexandria via LeMat-Bulk.

Structure (CIF):
```
data_YSc2SnH
_cell_length_a 4.596
_cell_length_b 4.596
_cell_length_c 4.620
_cell_angle_alpha 90.00
_cell_angle_beta 90.00
_cell_angle_gamma 90.00
_symmetry_space_group_name_H-M 'P 4/m m m'
_symmetry_Int_Tables_number 123
_symmetry_space_group_name_Hall '-P 4 2'
loop_
_atom_site_label
_atom_site_type_symbol
_atom_site_fract_x
_atom_site_fract_y
_atom_site_fract_z
Y1 Y 0.000 0.000 0.000
Sc1 Sc 0.000 0.500 0.500
Sn1 Sn 0.500 0.500 0.000
H1 H 0.000 0.000 0.500
```

VASP energy   -28.915 eV for the cell shown

=====

| no. | V (A^3/atom) |
| --- | --- |
| 1 | 17.33 |
| 2 | 19.52 |